No. 1
Ac8GeP4S3 | the Alexandria database | GGA-PBE | optimized geometry; formation energy without anion corrections = -1.634 eV/atom; DOS at the Fermi energy = 5.0 states/eV/cell; energy = -97.6 eV/cell
1.0
-5.743 6.591 -1.328
-6.634 -5.848 -0.338
5.384 0.172 7.012
P Ac S Ge
4 8 3 1
direct
0.000 0.000 0.500
0.500 0.000 0.500
0.500 0.000 0.000
0.000 0.000 0.000
0.251 0.755 0.004
0.749 0.245 0.497
0.248 0.245 0.996
0.749 0.245 0.996
0.753 0.758 0.506
0.251 0.755 0.503
0.752 0.755 0.004
0.247 0.242 0.494
0.500 0.500 0.500
0.000 0.500 0.500
0.500 0.500 0.000
0.000 0.500 0.000

=====

No. 2
Ac4GeSb2P | the Alexandria database | GGA-PBE | optimized geometry; formation energy without anion corrections = -1.079 eV/atom; DOS at the Fermi energy = 6.1 states/eV/cell; energy = -43.3 eV/cell
1.0
-4.328 0.719 1.476
1.611 -4.142 6.742
1.715 7.825 1.216
Sb Ac P Ge
2 4 1 1
direct
0.500 0.000 0.500
0.000 0.500 0.500
0.000 0.251 0.766
0.500 0.240 0.231
0.000 0.749 0.234
0.500 0.760 0.769
0.000 0.000 0.000
0.500 0.500 0.000

=====

No. 3
Ac8GeP3Se4 | the Alexandria database | GGA-PBE | optimized geometry; formation energy without anion corrections = -1.662 eV/atom; DOS at the Fermi energy = 3.0 states/eV/cell; energy = -94.2 eV/cell
1.0
-3.882 -7.047 3.922
-0.223 -4.280 -7.913
7.767 3.152 3.138
Ac P Ge Se
8 3 1 4
direct
0.744 0.735 0.990
0.256 0.267 0.511
0.754 0.265 0.508
0.256 0.265 0.010
0.744 0.733 0.489
0.246 0.735 0.492
0.754 0.265 0.010
0.246 0.735 0.990
0.500 0.500 0.000
0.500 0.500 0.500
0.000 0.500 0.500
0.000 0.500 0.000
0.000 0.000 0.500
0.000 0.000 0.000
0.500 0.000 0.000
0.500 0.000 0.500

=====

No. 4
Ac6GeP2Se3 | the Alexandria database | GGA-PBE | optimized geometry; formation energy without anion corrections = -1.627 eV/atom; DOS at the Fermi energy = 3.8 states/eV/cell; energy = -70.1 eV/cell
1.0
4.493 0.000 0.000
0.000 8.994 0.291
-2.247 -2.626 9.462
P Ge Ac Se
2 1 6 3
direct
0.832 0.664 0.664
0.168 0.336 0.336
0.500 0.000 0.000
0.670 0.574 0.341
0.004 0.245 0.007
0.664 0.093 0.328
0.330 0.426 0.659
0.996 0.755 0.993
0.336 0.907 0.672
0.500 0.500 0.000
0.833 0.168 0.666
0.167 0.832 0.334